Density functional theory data (PBE) for crystalline YReHg2 at its relaxed geometry.

E above lowest polymorph = 0.1619 eV/atom
Formation energy from the elements = 43 kJ/mol of atoms
ρ = 12.46 g/cm3
DFT total energy = -4.43 eV per atom

Cell lengths 3.3573, 3.3573, 27.7006 Å; angles 90.00, 90.00, 120.00 degrees
Space group R3m (No. 160, hexagonal axes)
Inequivalent atoms, fractional coordinates:
Y  0.0000  0.0000  0.0000 (multiplicity 3)
Re  0.0000  0.0000  0.7424 (multiplicity 3)
Hg  0.0000  0.0000  0.2412 (multiplicity 3)
Hg  0.0000  0.0000  0.4871 (multiplicity 3)